# HoEr7Mg4

HoEr7Mg4 after structural relaxation (PBE, Alexandria via LeMat-Bulk).

Computed properties:
- Formation enthalpy at 0 K: 0.19 eV/atom
- VASP energy: -3.385 eV/atom
- Space group: No. 12
- Size of the total moment: 0.30 μB per cell

Cell: 7.9917 7.9917 9.5953 Å, 119.33 119.33 41.76°
With the nearest neighbours (Å) after each atom.
Fractional coordinates of all 12 atoms:
Ho1 0.0000 0.0000 0.0000  2 Er 2.85
Er1 0.0797 0.0797 0.4251  5 Mg 3.13-3.44, 2 Er 3.36-3.42
Er2 0.2037 0.2037 0.8787  4 Mg 3.47-3.83, 7 Er 3.47-3.73, 1 Ho 3.78
Er3 0.2498 0.2498 0.2878  4 Mg 3.04-3.21, 1 Ho 3.28
Er4 0.5000 0.5000 0.0000  2 Ho 2.85, 2 Mg 2.96
Er5 0.7502 0.7502 0.7122  4 Mg 3.04-3.21, 1 Ho 3.28
Er6 0.7963 0.7963 0.1213  4 Mg 3.47-3.83, 7 Er 3.47-3.73, 1 Ho 3.78
Er7 0.9203 0.9203 0.5749  5 Mg 3.13-3.44, 2 Er 3.36-3.42
Mg1 0.3252 0.3252 0.6541  5 Er 2.96-3.21, 1 Mg 3.04
Mg2 0.4576 0.4576 0.3015  4 Er 3.04-3.27, 2 Mg 3.04-3.32
Mg3 0.5424 0.5424 0.6985  4 Er 3.04-3.27, 2 Mg 3.04-3.32
Mg4 0.6748 0.6748 0.3459  5 Er 2.96-3.21, 1 Mg 3.04

# HoEr2Mg3

HoEr2Mg3 after structural relaxation (PBE, Alexandria via LeMat-Bulk).

Computed properties:
- Formation enthalpy at 0 K: -0.07 eV/atom
- VASP energy: -3.150 eV/atom
- Space group: No. 123
- Size of the total moment: 0.00 μB per cell

Cell: 3.7745 3.7745 11.2638 Å, 90.00 90.00 90.00°
With the nearest neighbours (Å) after each atom.
Fractional coordinates of all 6 atoms:
Ho1 0.0000 0.0000 0.0000  8 Mg 3.27
Er1 0.0000 0.0000 0.3336  8 Mg 3.26
Er2 0.0000 0.0000 0.6664  8 Mg 3.26
Mg1 0.5000 0.5000 0.1676  4 Er 3.26, 4 Ho 3.27
Mg2 0.5000 0.5000 0.5000  8 Er 3.26
Mg3 0.5000 0.5000 0.8324  4 Er 3.26, 4 Ho 3.27

# Ho6ErMg

Ho6ErMg after structural relaxation (PBE, Alexandria via LeMat-Bulk).

Computed properties:
- Formation enthalpy at 0 K: 0.04 eV/atom
- VASP energy: -4.165 eV/atom
- Space group: No. 12
- Distance to the lowest polymorph of the same formula: 0.0000 eV per atom
- Size of the total moment: 0.00 μB per cell

Cell: 11.5962 5.2839 8.5307 Å, 90.00 112.65 90.00°
With the nearest neighbours (Å) after each atom.
Fractional coordinates of all 16 atoms:
Ho1 0.0088 0.0000 0.2275  2 Mg 3.26, 6 Ho 3.48-3.64, 2 Er 3.55
Ho2 0.2244 0.5000 0.8811  1 Mg 3.14, 5 Ho 3.24-3.48, 1 Er 3.29
Ho3 0.2496 0.0000 0.6421  1 Mg 3.30, 8 Ho 3.42-3.70, 1 Er 3.55
Ho4 0.2504 0.5000 0.3579  1 Mg 3.30, 8 Ho 3.42-3.70, 1 Er 3.55
Ho5 0.2756 0.0000 0.1189  1 Mg 3.14, 5 Ho 3.24-3.48, 1 Er 3.29
Ho6 0.4912 0.5000 0.7725  2 Mg 3.26, 6 Ho 3.48-3.64, 2 Er 3.55
Ho7 0.5088 0.5000 0.2275  2 Mg 3.26, 6 Ho 3.48-3.64, 2 Er 3.55
Ho8 0.7244 0.0000 0.8811  1 Mg 3.14, 5 Ho 3.24-3.48, 1 Er 3.29
Ho9 0.7504 0.0000 0.3579  1 Mg 3.30, 8 Ho 3.42-3.70, 1 Er 3.55
Ho10 0.7496 0.5000 0.6421  1 Mg 3.30, 8 Ho 3.42-3.70, 1 Er 3.55
Ho11 0.7756 0.5000 0.1189  1 Mg 3.14, 5 Ho 3.24-3.48, 1 Er 3.29
Ho12 0.9912 0.0000 0.7725  2 Mg 3.26, 6 Ho 3.48-3.64, 2 Er 3.55
Er1 0.0000 0.5000 0.5000  8 Ho 3.29-3.55
Er2 0.5000 0.0000 0.5000  8 Ho 3.29-3.55
Mg1 0.0000 0.5000 0.0000  8 Ho 3.14-3.30
Mg2 0.5000 0.0000 0.0000  8 Ho 3.14-3.30

# HoErMg

HoErMg after structural relaxation (PBE, Alexandria via LeMat-Bulk).

Computed properties:
- Formation enthalpy at 0 K: 0.05 eV/atom
- VASP energy: -3.530 eV/atom
- Space group: No. 156
- Distance to the lowest polymorph of the same formula: 0.0821 eV per atom
- Size of the total moment: 0.00 μB per cell

Cell: 5.4073 5.4073 3.3491 Å, 90.00 90.00 120.00°
With the nearest neighbours (Å) after each atom.
Fractional coordinates of all 3 atoms:
Ho1 0.0000 0.0000 0.0000  3 Mg 3.27, 2 Ho 3.35, 3 Er 3.43
Er1 0.3333 0.6667 0.5736  3 Mg 3.26, 2 Er 3.35, 3 Ho 3.43
Mg1 0.6667 0.3333 0.2917  3 Er 3.26, 3 Ho 3.27, 2 Mg 3.35

# Ho3Er2Mg8

Ho3Er2Mg8 after structural relaxation (PBE, Alexandria via LeMat-Bulk).

Computed properties:
- Formation enthalpy at 0 K: 0.13 eV/atom
- VASP energy: -2.607 eV/atom
- Space group: No. 166
- Size of the total moment: 0.00 μB per cell

Cell: 12.7211 12.7211 12.7211 Å, 26.45 26.45 26.45°
With the nearest neighbours (Å) after each atom.
Fractional coordinates of all 13 atoms:
Ho1 0.0000 0.0000 0.0000  6 Er 3.50
Ho2 0.1833 0.1833 0.1833  10 Mg 3.37-3.39, 3 Ho 3.58
Ho3 0.8167 0.8167 0.8167  10 Mg 3.37-3.39, 3 Ho 3.58
Er1 0.3598 0.3598 0.3598  4 Mg 3.13-3.29, 3 Ho 3.50
Er2 0.6402 0.6402 0.6402  4 Mg 3.13-3.29, 3 Ho 3.50
Mg1 0.2296 0.7305 0.7305  4 Mg 2.91-2.92
Mg2 0.2695 0.2695 0.7704  4 Mg 2.91-2.92
Mg3 0.2695 0.7704 0.2695  4 Mg 2.91-2.92
Mg4 0.2749 0.2749 0.2749  1 Er 3.13, 6 Mg 3.34, 1 Ho 3.37
Mg5 0.7251 0.7251 0.7251  1 Er 3.13, 6 Mg 3.34, 1 Ho 3.37
Mg6 0.7305 0.2296 0.7305  4 Mg 2.91-2.92
Mg7 0.7305 0.7305 0.2296  4 Mg 2.91-2.92
Mg8 0.7704 0.2695 0.2695  4 Mg 2.91-2.92

# Ho6ErMg

Ho6ErMg after structural relaxation (PBE, Alexandria via LeMat-Bulk).

Computed properties:
- Formation enthalpy at 0 K: 0.14 eV/atom
- VASP energy: -4.065 eV/atom
- Space group: No. 148
- Distance to the lowest polymorph of the same formula: 0.1003 eV per atom
- Size of the total moment: 0.00 μB per cell

Cell: 6.2873 6.2873 6.2873 Å, 95.15 95.15 95.15°
With the nearest neighbours (Å) after each atom.
Fractional coordinates of all 8 atoms:
Ho1 0.0458 0.7565 0.5266  6 Ho 3.21-3.55, 1 Mg 3.27, 1 Er 3.41
Ho2 0.2435 0.4734 0.9542  6 Ho 3.21-3.55, 1 Mg 3.27, 1 Er 3.41
Ho3 0.4734 0.9542 0.2435  6 Ho 3.21-3.55, 1 Mg 3.27, 1 Er 3.41
Ho4 0.5266 0.0458 0.7565  6 Ho 3.21-3.55, 1 Mg 3.27, 1 Er 3.41
Ho5 0.7565 0.5266 0.0458  6 Ho 3.21-3.55, 1 Mg 3.27, 1 Er 3.41
Ho6 0.9542 0.2435 0.4734  6 Ho 3.21-3.55, 1 Mg 3.27, 1 Er 3.41
Er1 0.5000 0.5000 0.5000  12 Ho 3.41-3.64
Mg1 0.0000 0.0000 0.0000  6 Ho 3.27

- size of the total moment of number 3 (Ho6ErMg)?
  0.00 μB per cell

- What is the size of the total moment in the fourth record?
  0.00 μB per cell

- Look up the size of the total moment of the second one.
  0.00 μB per cell

- Among the records above, which one has the highest size of the total moment?
  HoEr7Mg4